DFT (PBEsol) results for crystalline SbPIN2 at its relaxed geometry.

Results
Space-group type: P4/mmm
Energy relative to the lowest polymorph listed for this composition (eV/atom): 0.2252
M_tot (μB/atom): 0.326
DOS at the Fermi energy (states/eV/f.u.): 2.65
Formation energy without anion corrections (eV/atom): 1.489
Uncorrected energy (eV per cell): -21.724

Lattice parameters (Å, degrees): 3.984 3.984 6.665 90.00 90.00 90.00
Positions (direct):
Sb (0.000, 0.000, 0.000)
P (0.500, 0.500, 0.500)
I (0.000, 0.000, 0.500)
N (0.000, 0.500, 0.000)
N (0.500, 0.000, 0.000)